A relaxed LaTi3Ru crystal, computed with PBE.

abc: 4.815 4.815 4.815
angles: 90.00 90.00 90.00
Positions (direct):
La 0.000 0.000 0.000
Ti 0.000 0.500 0.500
Ti 0.500 0.000 0.500
Ti 0.500 0.500 0.000
Ru 0.500 0.500 0.500

Results
- Symmetry: No. 221
- Energy above the lowest structure with this stoichiometry: 0 meV per atom
- Calculated total energy: -7.470 eV/atom
- Fermi-level density of states: 2.2633 states/eV/atom
- Energy of formation from the pure elements: 0.108 eV per atom